# PBE with a Hubbard U Cr3CuP4O16, relaxed
data_Cr3CuP4O16
_space_group_name_H-M_alt 'P 1'
_space_group_IT_number 1
_cell_length_a 5.841
_cell_length_b 4.824
_cell_length_c 9.935
_cell_angle_alpha 87.90
_cell_angle_beta 90.00
_cell_angle_gamma 90.00
loop_
_space_group_symop_operation_xyz
'x,y,z'
loop_
_atom_site_label
_atom_site_type_symbol
_atom_site_fract_x
_atom_site_fract_y
_atom_site_fract_z
_atom_site_occupancy
Cr1 Cr 0.000 0.454 0.773 1
Cr2 Cr 0.500 0.546 0.218 1
Cr3 Cr 0.500 0.954 0.729 1
Cu1 Cu 0.000 0.125 0.297 1
P1 P 0.500 0.089 0.404 1
P2 P 0.500 0.384 0.908 1
P3 P 0.000 0.605 0.096 1
P4 P 0.000 0.913 0.595 1
O1 O 0.500 0.154 0.553 1
O2 O 0.302 0.258 0.328 1
O3 O 0.698 0.258 0.328 1
O4 O 0.000 0.223 0.617 1
O5 O 0.000 0.285 0.125 1
O6 O 0.295 0.238 0.831 1
O7 O 0.705 0.238 0.831 1
O8 O 0.500 0.309 0.058 1
O9 O 0.000 0.648 0.943 1
O10 O 0.785 0.737 0.160 1
O11 O 0.215 0.737 0.160 1
O12 O 0.500 0.698 0.885 1
O13 O 0.500 0.782 0.379 1
O14 O 0.796 0.751 0.670 1
O15 O 0.204 0.751 0.670 1
O16 O 0.000 0.864 0.444 1
# - Space-group type: Pm, No. 6
# - Total moment: 8.6 μB/cell
# - Electronic total energy: -0.53151 Ry/atom
# - DOS(E_F): 3.42 states/eV/cell